Version w
A plane-wave DFT calculation with PBE was carried out for crystalline Na2HgP2 at its relaxed geometry.

Results
Spin magnetization: 0.0 μB per formula unit
Calculated density: 3.84 g cm⁻³

CIF file:
```
data_Na2HgP2
_symmetry_space_group_name_H-M 'I 4/m m m'
_symmetry_Int_Tables_number 139
_symmetry_space_group_name_Hall '-I 4 2'
_cell_length_a 5.2735
_cell_length_b 5.2735
_cell_length_c 9.5981
_cell_angle_alpha 90.00
_cell_angle_beta 90.00
_cell_angle_gamma 90.00
loop_
_atom_site_label
_atom_site_type_symbol
_atom_site_fract_x
_atom_site_fract_y
_atom_site_fract_z
Na1 Na 0.0000 0.5000 0.2500
Hg1 Hg 0.0000 0.0000 0.0000
P1 P 0.0000 0.0000 0.3934
```

Version x
A plane-wave DFT calculation with PBE was carried out for crystalline Na2HgP2 at its relaxed geometry.

Results
Spin magnetization: 0.0 μB per formula unit
Calculated density: 4.59 g cm⁻³

CIF file:
```
data_Na2HgP2
_symmetry_space_group_name_H-M 'I 4/m m m'
_symmetry_Int_Tables_number 139
_symmetry_space_group_name_Hall '-I 4 2'
_cell_length_a 3.3966
_cell_length_b 3.3966
_cell_length_c 19.3359
_cell_angle_alpha 90.00
_cell_angle_beta 90.00
_cell_angle_gamma 90.00
loop_
_atom_site_label
_atom_site_type_symbol
_atom_site_fract_x
_atom_site_fract_y
_atom_site_fract_z
Na1 Na 0.0000 0.0000 0.1202
Hg1 Hg 0.0000 0.0000 0.5000
P1 P 0.0000 0.5000 0.2500
```

Version y
A plane-wave DFT calculation with PBE was carried out for crystalline Na2HgP2 at its relaxed geometry.

Results
Spin magnetization: 0.0 μB per formula unit
Calculated density: 4.48 g cm⁻³

CIF file:
```
data_Na2HgP2
_symmetry_space_group_name_H-M 'P 4/m b m'
_symmetry_Int_Tables_number 127
_symmetry_space_group_name_Hall '-P 4 2ab'
_cell_length_a 7.4482
_cell_length_b 7.4482
_cell_length_c 4.1267
_cell_angle_alpha 90.00
_cell_angle_beta 90.00
_cell_angle_gamma 90.00
loop_
_atom_site_label
_atom_site_type_symbol
_atom_site_fract_x
_atom_site_fract_y
_atom_site_fract_z
Na1 Na 0.1884 0.3116 0.0000
Hg1 Hg 0.0000 0.0000 0.5000
P1 P 0.0995 0.5995 0.5000
```

Version z
A plane-wave DFT calculation with PBE was carried out for crystalline Na2HgP2 at its relaxed geometry.

Results
Spin magnetization: 0.0 μB per formula unit
Calculated density: 4.75 g cm⁻³

CIF file:
```
data_Na2HgP2
_symmetry_space_group_name_H-M 'P 4/m b m'
_symmetry_Int_Tables_number 127
_symmetry_space_group_name_Hall '-P 4 2ab'
_cell_length_a 8.9794
_cell_length_b 8.9794
_cell_length_c 2.6734
_cell_angle_alpha 90.00
_cell_angle_beta 90.00
_cell_angle_gamma 90.00
loop_
_atom_site_label
_atom_site_type_symbol
_atom_site_fract_x
_atom_site_fract_y
_atom_site_fract_z
Na1 Na 0.1317 0.3683 0.0000
Hg1 Hg 0.0000 0.0000 0.0000
P1 P 0.1644 0.6644 0.5000
```

Which of them is most stable, and which least? Most stable: version y; least stable: version z.

Version w
A plane-wave DFT calculation with PBE was carried out for crystalline NaHg3P at its relaxed geometry.

Results
Spin magnetization: 2.2 μB per formula unit
Calculated density: 5.89 g cm⁻³

CIF file:
```
data_NaHg3P
_symmetry_space_group_name_H-M 'P m -3 m'
_symmetry_Int_Tables_number 221
_symmetry_space_group_name_Hall '-P 4 2 3'
_cell_length_a 5.6965
_cell_length_b 5.6965
_cell_length_c 5.6965
_cell_angle_alpha 90.00
_cell_angle_beta 90.00
_cell_angle_gamma 90.00
loop_
_atom_site_label
_atom_site_type_symbol
_atom_site_fract_x
_atom_site_fract_y
_atom_site_fract_z
Na1 Na 0.0000 0.0000 0.0000
Hg1 Hg 0.0000 0.0000 0.5000
P1 P 0.5000 0.5000 0.5000
```

Version x
A plane-wave DFT calculation with PBE was carried out for crystalline NaHg3P at its relaxed geometry.

Results
Spin magnetization: 0.0 μB per formula unit
Calculated density: 7.52 g cm⁻³

CIF file:
```
data_NaHg3P
_symmetry_space_group_name_H-M 'P m -3 m'
_symmetry_Int_Tables_number 221
_symmetry_space_group_name_Hall '-P 4 2 3'
_cell_length_a 5.2511
_cell_length_b 5.2511
_cell_length_c 5.2511
_cell_angle_alpha 90.00
_cell_angle_beta 90.00
_cell_angle_gamma 90.00
loop_
_atom_site_label
_atom_site_type_symbol
_atom_site_fract_x
_atom_site_fract_y
_atom_site_fract_z
Na1 Na 0.0000 0.0000 0.0000
Hg1 Hg 0.0000 0.5000 0.5000
P1 P 0.5000 0.5000 0.5000
```

Which of them is most stable, and which least? Most stable: version x; least stable: version w.

Version w
A plane-wave DFT calculation with PBE was carried out for crystalline Na2HgPPd at its relaxed geometry.

Results
Spin magnetization: 0.0 μB per formula unit
Calculated density: 4.58 g cm⁻³

CIF file:
```
data_Na2HgPPd
_symmetry_space_group_name_H-M 'P 4/m m m'
_symmetry_Int_Tables_number 123
_symmetry_space_group_name_Hall '-P 4 2'
_cell_length_a 5.6328
_cell_length_b 5.6328
_cell_length_c 4.3885
_cell_angle_alpha 90.00
_cell_angle_beta 90.00
_cell_angle_gamma 90.00
loop_
_atom_site_label
_atom_site_type_symbol
_atom_site_fract_x
_atom_site_fract_y
_atom_site_fract_z
Na1 Na 0.0000 0.5000 0.0000
Hg1 Hg 0.0000 0.0000 0.5000
P1 P 0.5000 0.5000 0.5000
Pd1 Pd 0.5000 0.5000 0.0000
```

Version x
A plane-wave DFT calculation with PBE was carried out for crystalline Na2HgPPd at its relaxed geometry.

Results
Spin magnetization: 0.0 μB per formula unit
Calculated density: 4.67 g cm⁻³

CIF file:
```
data_Na2HgPPd
_symmetry_space_group_name_H-M 'P 4/m m m'
_symmetry_Int_Tables_number 123
_symmetry_space_group_name_Hall '-P 4 2'
_cell_length_a 5.5502
_cell_length_b 5.5502
_cell_length_c 4.4347
_cell_angle_alpha 90.00
_cell_angle_beta 90.00
_cell_angle_gamma 90.00
loop_
_atom_site_label
_atom_site_type_symbol
_atom_site_fract_x
_atom_site_fract_y
_atom_site_fract_z
Na1 Na 0.0000 0.5000 0.0000
Hg1 Hg 0.0000 0.0000 0.5000
P1 P 0.5000 0.5000 0.0000
Pd1 Pd 0.5000 0.5000 0.5000
```

Which of them is most stable, and which least? Most stable: version x; least stable: version w.

Version w
A plane-wave DFT calculation with PBE was carried out for crystalline Na2TlHgP at its relaxed geometry.

Results
Spin magnetization: 0.0 μB per formula unit
Calculated density: 5.02 g cm⁻³

CIF file:
```
data_Na2TlHgP
_symmetry_space_group_name_H-M 'P 4/m m m'
_symmetry_Int_Tables_number 123
_symmetry_space_group_name_Hall '-P 4 2'
_cell_length_a 5.4485
_cell_length_b 5.4485
_cell_length_c 5.3664
_cell_angle_alpha 90.00
_cell_angle_beta 90.00
_cell_angle_gamma 90.00
loop_
_atom_site_label
_atom_site_type_symbol
_atom_site_fract_x
_atom_site_fract_y
_atom_site_fract_z
Na1 Na 0.0000 0.5000 0.0000
Tl1 Tl 0.0000 0.0000 0.5000
Hg1 Hg 0.5000 0.5000 0.5000
P1 P 0.0000 0.0000 0.0000
```

Version x
A plane-wave DFT calculation with PBE was carried out for crystalline Na2TlHgP at its relaxed geometry.

Results
Spin magnetization: 0.0 μB per formula unit
Calculated density: 4.81 g cm⁻³

CIF file:
```
data_Na2TlHgP
_symmetry_space_group_name_H-M 'P 4/m m m'
_symmetry_Int_Tables_number 123
_symmetry_space_group_name_Hall '-P 4 2'
_cell_length_a 5.4637
_cell_length_b 5.4637
_cell_length_c 5.5762
_cell_angle_alpha 90.00
_cell_angle_beta 90.00
_cell_angle_gamma 90.00
loop_
_atom_site_label
_atom_site_type_symbol
_atom_site_fract_x
_atom_site_fract_y
_atom_site_fract_z
Na1 Na 0.0000 0.5000 0.0000
Tl1 Tl 0.0000 0.0000 0.5000
Hg1 Hg 0.0000 0.0000 0.0000
P1 P 0.5000 0.5000 0.5000
```

Which of them is most stable, and which least? Most stable: version w; least stable: version x.

Version w
A plane-wave DFT calculation with PBE was carried out for crystalline NaHg4Pb5 at its relaxed geometry.

Results
Spin magnetization: 0.0 μB per formula unit
Calculated density: 10.60 g cm⁻³

CIF file:
```
data_NaHg4Pb5
_symmetry_space_group_name_H-M 'P -1'
_symmetry_Int_Tables_number 2
_cell_length_a 5.9896
_cell_length_b 6.5394
_cell_length_c 8.4635
_cell_angle_alpha 67.32
_cell_angle_beta 74.46
_cell_angle_gamma 76.56
loop_
_symmetry_equiv_pos_as_xyz
'x,y,z'
'-x,-y,-z'
loop_
_atom_site_label
_atom_site_type_symbol
_atom_site_fract_x
_atom_site_fract_y
_atom_site_fract_z
Na1 Na 0.0000 0.0000 0.0000
Hg1 Hg 0.1388 0.9824 0.3296
Hg2 Hg 0.4666 0.7320 0.0934
Pb1 Pb 0.0000 0.5000 0.0000
Pb2 Pb 0.2250 0.4162 0.5973
Pb3 Pb 0.4127 0.8157 0.6959
```

Version x
A plane-wave DFT calculation with PBE was carried out for crystalline NaHg4Pb5 at its relaxed geometry.

Results
Spin magnetization: 0.0 μB per formula unit
Calculated density: 10.51 g cm⁻³

CIF file:
```
data_NaHg4Pb5
_symmetry_space_group_name_H-M 'C 1 2/m 1'
_symmetry_Int_Tables_number 12
_cell_length_a 15.0291
_cell_length_b 3.5092
_cell_length_c 11.6115
_cell_angle_alpha 90.00
_cell_angle_beta 106.17
_cell_angle_gamma 90.00
loop_
_symmetry_equiv_pos_as_xyz
'x,y,z'
'-x,-y,-z'
'-x,y,-z'
'x,-y,z'
'x+1/2,y+1/2,z'
'-x+1/2,-y+1/2,-z'
'-x+1/2,y+1/2,-z'
'x+1/2,-y+1/2,z'
loop_
_atom_site_label
_atom_site_type_symbol
_atom_site_fract_x
_atom_site_fract_y
_atom_site_fract_z
Na1 Na 0.0000 0.0000 0.0000
Hg1 Hg 0.1212 0.5000 0.8380
Hg2 Hg 0.1945 0.5000 0.1080
Pb1 Pb 0.0000 0.0000 0.5000
Pb2 Pb 0.0857 0.5000 0.3040
Pb3 Pb 0.2071 0.5000 0.6088
```

Which of them is most stable, and which least? Most stable: version x; least stable: version w.

Version w
A plane-wave DFT calculation with PBE was carried out for crystalline Na2Hg2Pb at its relaxed geometry.

Results
Spin magnetization: 0.0 μB per formula unit
Calculated density: 8.06 g cm⁻³

CIF file:
```
data_Na2Hg2Pb
_symmetry_space_group_name_H-M 'P 4/m b m'
_symmetry_Int_Tables_number 127
_symmetry_space_group_name_Hall '-P 4 2ab'
_cell_length_a 8.8977
_cell_length_b 8.8977
_cell_length_c 3.4075
_cell_angle_alpha 90.00
_cell_angle_beta 90.00
_cell_angle_gamma 90.00
loop_
_atom_site_label
_atom_site_type_symbol
_atom_site_fract_x
_atom_site_fract_y
_atom_site_fract_z
Na1 Na 0.1400 0.3600 0.0000
Hg1 Hg 0.1556 0.6556 0.5000
Pb1 Pb 0.0000 0.0000 0.0000
```

Version x
A plane-wave DFT calculation with PBE was carried out for crystalline Na2Hg2Pb at its relaxed geometry.

Results
Spin magnetization: 0.0 μB per formula unit
Calculated density: 8.25 g cm⁻³

CIF file:
```
data_Na2Hg2Pb
_symmetry_space_group_name_H-M 'C 1 2/m 1'
_symmetry_Int_Tables_number 12
_cell_length_a 9.2259
_cell_length_b 5.2718
_cell_length_c 6.2847
_cell_angle_alpha 90.00
_cell_angle_beta 120.49
_cell_angle_gamma 90.00
loop_
_symmetry_equiv_pos_as_xyz
'x,y,z'
'-x,-y,-z'
'-x,y,-z'
'x,-y,z'
'x+1/2,y+1/2,z'
'-x+1/2,-y+1/2,-z'
'-x+1/2,y+1/2,-z'
'x+1/2,-y+1/2,z'
loop_
_atom_site_label
_atom_site_type_symbol
_atom_site_fract_x
_atom_site_fract_y
_atom_site_fract_z
Na1 Na 0.2122 0.0000 0.1389
Hg1 Hg 0.0905 0.5000 0.2766
Pb1 Pb 0.0000 0.0000 0.5000
```

Version y
A plane-wave DFT calculation with PBE was carried out for crystalline Na2Hg2Pb at its relaxed geometry.

Results
Spin magnetization: 0.0 μB per formula unit
Calculated density: 7.59 g cm⁻³

CIF file:
```
data_Na2Hg2Pb
_symmetry_space_group_name_H-M 'I 4/m m m'
_symmetry_Int_Tables_number 139
_symmetry_space_group_name_Hall '-I 4 2'
_cell_length_a 4.5655
_cell_length_b 4.5655
_cell_length_c 13.7378
_cell_angle_alpha 90.00
_cell_angle_beta 90.00
_cell_angle_gamma 90.00
loop_
_atom_site_label
_atom_site_type_symbol
_atom_site_fract_x
_atom_site_fract_y
_atom_site_fract_z
Na1 Na 0.0000 0.5000 0.2500
Hg1 Hg 0.0000 0.0000 0.1042
Pb1 Pb 0.0000 0.0000 0.5000
```

Version z
A plane-wave DFT calculation with PBE was carried out for crystalline Na2Hg2Pb at its relaxed geometry.

Results
Spin magnetization: 0.0 μB per formula unit
Calculated density: 8.10 g cm⁻³

CIF file:
```
data_Na2Hg2Pb
_symmetry_space_group_name_H-M 'P 4/m b m'
_symmetry_Int_Tables_number 127
_symmetry_space_group_name_Hall '-P 4 2ab'
_cell_length_a 8.5562
_cell_length_b 8.5562
_cell_length_c 3.6627
_cell_angle_alpha 90.00
_cell_angle_beta 90.00
_cell_angle_gamma 90.00
loop_
_atom_site_label
_atom_site_type_symbol
_atom_site_fract_x
_atom_site_fract_y
_atom_site_fract_z
Na1 Na 0.1714 0.3286 0.0000
Hg1 Hg 0.1265 0.6265 0.5000
Pb1 Pb 0.0000 0.0000 0.5000
```

Which of them is most stable, and which least? Most stable: version x; least stable: version y.